First-principles (PBE) data for a relaxed YZnGe3 crystal, as listed in Alexandria.

Properties
Fermi-level density of states: 0.494 states/eV per atom
DFT total energy: -4.146 eV/atom

Lattice parameters (Å, degrees): 4.848 4.848 4.848 90.00 90.00 90.00
Fractional coordinates of all 5 atoms:
Y1 0.500 0.500 0.500
Ge1 0.000 0.500 0.000
Ge2 0.000 0.000 0.500
Ge3 0.500 0.000 0.000
Zn1 0.000 0.000 0.000

***

First-principles (PBE) data for a relaxed Y2Zn2Ge crystal, as listed in Alexandria.

Properties
Fermi-level density of states: 0.149 states/eV per atom
DFT total energy: -4.479 eV/atom
energy above the most stable polymorph in this dataset: 0 meV/atom

Lattice parameters (Å, degrees): 6.923 6.923 4.480 90.00 90.00 90.00
Fractional coordinates of all 10 atoms:
Y1 0.173 0.673 0.500
Y2 0.673 0.827 0.500
Y3 0.827 0.327 0.500
Y4 0.327 0.173 0.500
Ge1 0.000 0.000 0.000
Ge2 0.500 0.500 0.000
Zn1 0.373 0.873 0.000
Zn2 0.873 0.627 0.000
Zn3 0.627 0.127 0.000
Zn4 0.127 0.373 0.000

***

Here are the calculated energy of formation numbers, same order: 0.17, -0.46 (eV per atom).
Here are the calculated theoretical density numbers, same order: 5.424, 5.897 (g cm⁻³).